(1)
Ca2CeSnN after structural relaxation. Source: Alexandria via LeMat-Bulk, functional GGA-PBE.

Computed properties:
Formation energy (no corrections) in eV per atom: -0.94
Final energy in eV for the cell shown: -26.96

The structure in CIF format:
```
data_Ca2CeSnN
_chemical_formula_sum 'Ca2 Ce1 Sn1 N1'
_cell_length_a 4.942
_cell_length_b 4.942
_cell_length_c 4.869
_cell_angle_alpha 90.00
_cell_angle_beta 90.00
_cell_angle_gamma 90.00
_symmetry_space_group_name_H-M 'P 4/m m m'
_symmetry_Int_Tables_number 123
_symmetry_space_group_name_Hall '-P 4 2'
loop_
_atom_site_label
_atom_site_type_symbol
_atom_site_fract_x
_atom_site_fract_y
_atom_site_fract_z
Ca1 Ca 0.000 0.500 0.000
Ce1 Ce 0.000 0.000 0.500
Sn1 Sn 0.500 0.500 0.500
N1 N 0.000 0.000 0.000
```


(2)
RbGe3Ir after structural relaxation. Source: Alexandria via LeMat-Bulk, functional GGA-PBE.

Computed properties:
Formation energy in kJ/mol of formula units: 153
Energy relative to the lowest polymorph listed for this composition in meV per atom: 0
Final energy in eV for the cell shown: -22.10

The structure in CIF format:
```
data_RbGe3Ir
_chemical_formula_sum 'Rb1 Ge3 Ir1'
_cell_length_a 5.002
_cell_length_b 5.002
_cell_length_c 5.002
_cell_angle_alpha 90.00
_cell_angle_beta 90.00
_cell_angle_gamma 90.00
_symmetry_space_group_name_H-M 'P m -3 m'
_symmetry_Int_Tables_number 221
_symmetry_space_group_name_Hall '-P 4 2 3'
loop_
_atom_site_label
_atom_site_type_symbol
_atom_site_fract_x
_atom_site_fract_y
_atom_site_fract_z
Rb1 Rb 0.000 0.000 0.000
Ge1 Ge 0.000 0.500 0.500
Ir1 Ir 0.500 0.500 0.500
```


(3)
TcHg2Pt after structural relaxation. Source: Alexandria via LeMat-Bulk, functional GGA-PBE.

Computed properties:
Formation energy in kJ/mol of formula units: 162
Energy relative to the lowest polymorph listed for this composition in meV per atom: 216
Final energy in eV for the cell shown: -46.00

The structure in CIF format:
```
data_TcHg2Pt
_chemical_formula_sum 'Tc3 Hg6 Pt3'
_cell_length_a 2.9688
_cell_length_b 2.9688
_cell_length_c 28.1229
_cell_angle_alpha 90.00
_cell_angle_beta 90.00
_cell_angle_gamma 120.00
_symmetry_space_group_name_H-M 'R -3 m'
_symmetry_Int_Tables_number 166
_symmetry_space_group_name_Hall '-R 3 2"'
loop_
_atom_site_label
_atom_site_type_symbol
_atom_site_fract_x
_atom_site_fract_y
_atom_site_fract_z
Tc1 Tc 0.0000 0.0000 0.0000
Hg1 Hg 0.0000 0.0000 0.2507
Pt1 Pt 0.0000 0.0000 0.5000
```


(4)
Na8TlAg2 after structural relaxation. Source: Alexandria via LeMat-Bulk, functional GGA-PBE.

Computed properties:
Formation energy in kJ/mol of formula units: -5
Energy relative to the lowest polymorph listed for this composition in meV per atom: 17
Final energy in eV for the cell shown: -37.35

The structure in CIF format:
```
data_Na8TlAg2
_chemical_formula_sum 'Na16 Tl2 Ag4'
_cell_length_a 9.182
_cell_length_b 13.643
_cell_length_c 5.614
_cell_angle_alpha 90.00
_cell_angle_beta 105.29
_cell_angle_gamma 90.00
_symmetry_space_group_name_H-M 'C 1 2/m 1'
_symmetry_Int_Tables_number 12
loop_
_symmetry_equiv_pos_as_xyz
'x,y,z'
'-x,-y,-z'
'-x,y,-z'
'x,-y,z'
'x+1/2,y+1/2,z'
'-x+1/2,-y+1/2,-z'
'-x+1/2,y+1/2,-z'
'x+1/2,-y+1/2,z'
loop_
_atom_site_label
_atom_site_type_symbol
_atom_site_fract_x
_atom_site_fract_y
_atom_site_fract_z
Na1 Na 0.000 0.240 0.000
Na2 Na 0.130 0.500 0.823
Na3 Na 0.189 0.125 0.584
Tl1 Tl 0.000 0.000 0.000
Ag1 Ag 0.000 0.322 0.500
```